[1]
Compound: Cd4HgSb
Source: Alexandria
Functional: meta-GGA SCAN
Structure: single point on PBEsol structure

**Mass density**: 9337 kg/m3
**Raw total energy**: -1.386 Ha/atom
**Space-group type**: F-43m

abc: 5.7907 5.7907 5.7907
angles: 60.00 60.00 60.00
Last column: nearest neighbours and their distance in Å.
Atoms (fractional coordinates):
Cd1 0.1252 0.1252 0.1252  6 Cd 2.89-2.90
Cd2 0.1252 0.1252 0.6243  6 Cd 2.89-2.90
Cd3 0.1252 0.6243 0.1252  6 Cd 2.89-2.90
Cd4 0.6243 0.1252 0.1252  6 Cd 2.89-2.90
Hg1 0.5000 0.5000 0.5000  12 Cd 3.39, 4 Sb 3.55
Sb1 0.7500 0.7500 0.7500  12 Cd 3.40, 4 Hg 3.55

---

[2]
Compound: CdHgSb2
Source: Alexandria
Functional: meta-GGA SCAN
Structure: single point on PBEsol structure

**Mass density**: 9279 kg/m3
**Raw total energy**: -1.584 Ha/atom
**Energy above the most stable polymorph in this dataset**: 2 meV per atom
**Space-group type**: Pmm2

abc: 3.3034 4.4840 6.7234
angles: 90.00 90.00 90.00
Last column: nearest neighbours and their distance in Å.
Atoms (fractional coordinates):
Cd1 0.0000 0.0000 0.0000  5 Sb 3.05-3.08, 4 Hg 3.28, 2 Cd 3.30
Hg1 0.5000 0.5000 0.2573  5 Sb 3.05-3.08, 4 Cd 3.28, 2 Hg 3.30
Sb1 0.0000 0.0000 0.4530  1 Cd 3.05, 4 Hg 3.08, 2 Sb 3.30
Sb2 0.5000 0.5000 0.8033  1 Hg 3.05, 4 Cd 3.08, 2 Sb 3.30

---

Look up the mass density of the first one. 9337 kg/m3